K2InSnPb2 (PBE, optimized geometry); VASP energy = -35.0 eV for the cell shown; energy relative to the elements = -192 meV per atom; total moment = 0.00 μB per cell; crystal system = orthorhombic
1.0
-3.610 8.417 3.629
3.610 -8.417 3.629
3.610 8.417 -3.629
K In Sn Pb
4 2 2 4
direct
0.164 0.250 0.415
0.336 0.750 0.086
0.664 0.250 0.914
0.836 0.750 0.585
0.250 0.250 0.000
0.750 0.750 0.000
0.250 0.750 0.500
0.750 0.250 0.500
0.110 0.751 0.860
0.390 0.251 0.641
0.610 0.749 0.359
0.890 0.249 0.140

---

In2Hg3Te6 (PBE, optimized geometry); VASP energy = -51.7 eV for the cell shown; total moment = 0.00 μB per cell; energy above the lowest structure with this stoichiometry = 190.6 meV per atom; crystal system = monoclinic
1.0
6.802 -3.924 0.000
6.802 3.924 0.000
-4.711 0.000 16.434
In Hg Te
4 6 12
direct
0.165 0.664 0.994
0.336 0.835 0.506
0.664 0.165 0.494
0.835 0.336 0.006
0.056 0.944 0.750
0.251 0.445 0.250
0.445 0.251 0.750
0.555 0.749 0.250
0.749 0.555 0.750
0.944 0.056 0.250
0.023 0.852 0.587
0.148 0.977 0.913
0.215 0.352 0.087
0.284 0.477 0.413
0.352 0.215 0.587
0.477 0.284 0.913
0.523 0.716 0.087
0.648 0.785 0.413
0.716 0.523 0.587
0.785 0.648 0.913
0.852 0.023 0.087
0.977 0.148 0.413

---

TmSc2GaAu4 (PBE, optimized geometry); VASP energy = -39.0 eV for the cell shown; energy relative to the elements = -714 meV per atom; total moment = 0.00 μB per cell; crystal system = trigonal
1.0
2.385 1.377 8.054
-2.385 1.377 8.054
0.000 -2.754 8.054
Tm Sc Ga Au
1 2 1 4
direct
0.000 0.000 0.000
0.242 0.242 0.242
0.758 0.758 0.758
0.500 0.500 0.500
0.121 0.121 0.121
0.380 0.380 0.380
0.620 0.620 0.620
0.879 0.879 0.879

---

- Look up the total moment of the third one.
  0.00 μB per cell

---

- Which value of VASP energy does entry 1 give?
  -35.0 eV for the cell shown

---

- What is the total moment in the second record?
  0.00 μB per cell